[1]
First-principles (PBE) data for a geometry-optimized AlHgAs3 structure, as listed in the Alexandria database.

Properties
- Final energy: -3.046 eV per atom
- Formation enthalpy at 0 K: 266 kJ/mol of formula units
- E above lowest polymorph: 0.000 eV per atom

Lattice parameters (Å, degrees): 4.903 4.903 4.903 90.00 90.00 90.00
Space group Pm-3m (No. 221)
Unique sites:
Al  0.000  0.000  0.000 x1
Hg  0.500  0.500  0.500 x1
As  0.000  0.000  0.500 x3

***

[2]
First-principles (PBE) data for a geometry-optimized Y2ZrTa structure, as listed in the Alexandria database.

Properties
- Final energy: -8.029 eV per atom
- Formation enthalpy at 0 K: 117 kJ/mol of formula units
- E above lowest polymorph: 0.140 eV per atom

Lattice parameters (Å, degrees): 3.2941 3.2941 32.6407 90.00 90.00 120.00
Space group R3m (No. 160, hexagonal axes)
Unique sites:
Y  0.0000  0.0000  0.0000 x3
Y  0.0000  0.0000  0.2348 x3
Zr  0.0000  0.0000  0.4825 x3
Ta  0.0000  0.0000  0.7449 x3

***

[3]
First-principles (PBE) data for a geometry-optimized B3RhCl structure, as listed in the Alexandria database.

Properties
- Final energy: -3.639 eV per atom
- E above lowest polymorph: 1.237 eV per atom
- Formation energy (no corrections): 2.2075 eV per atom

Lattice parameters (Å, degrees): 3.805 3.805 3.805 90.00 90.00 90.00
Space group Pm-3m (No. 221)
Unique sites:
B  0.000  0.000  0.500 x3
Rh  0.500  0.500  0.500 x1
Cl  0.000  0.000  0.000 x1

***

[4]
First-principles (PBE) data for a geometry-optimized Si2RuBr structure, as listed in the Alexandria database.

Properties
- Final energy: -5.421 eV per atom
- E above lowest polymorph: 0.000 eV per atom
- Formation energy (no corrections): 0.0281 eV per atom

Lattice parameters (Å, degrees): 3.056 3.066 7.218 90.00 90.15 90.00
Space group P2/m (No. 10)
Unique sites:
Si  0.001  0.000  0.194 x2
Ru  0.500  0.500  0.000 x1
Br  0.000  0.500  0.500 x1

***

[5]
First-principles (PBE) data for a geometry-optimized Pu4TlSb2 structure, as listed in the Alexandria database.

Properties
- Final energy: -9.810 eV per atom
- Formation energy (no corrections): -0.1047 eV per atom

Lattice parameters (Å, degrees): 5.979 5.979 11.442 90.00 90.00 90.00
Space group I4/mmm (No. 139)
Unique sites:
Pu  0.000  0.500  0.000 x4
Pu  0.000  0.500  0.250 x4
Tl  0.000  0.000  0.000 x2
Sb  0.000  0.000  0.356 x4

***

[6]
First-principles (PBE) data for a geometry-optimized Mg4Si3 structure, as listed in the Alexandria database.

Properties
- Final energy: -3.178 eV per atom
- E above lowest polymorph: 0.090 eV per atom
- Formation energy (no corrections): 0.0574 eV per atom

Lattice parameters (Å, degrees): 7.390 7.395 11.040 96.86 97.76 115.39
Space group P1 (No. 1)
Unique sites:
Mg  0.000  0.000  0.000 x1
Mg  0.031  0.874  0.694 x1
Mg  0.117  0.514  0.009 x1
Mg  0.194  0.672  0.278 x1
Mg  0.231  0.558  0.739 x1
Mg  0.309  0.303  0.378 x1
Mg  0.349  0.284  0.904 x1
Mg  0.417  0.081  0.163 x1
Mg  0.490  0.027  0.712 x1
Mg  0.531  0.715  0.528 x1
Mg  0.569  0.761  0.011 x1
Mg  0.727  0.407  0.581 x1
Mg  0.765  0.584  0.355 x1
Mg  0.770  0.518  0.852 x1
Mg  0.886  0.232  0.221 x1
Mg  0.926  0.131  0.514 x1
Si  0.097  0.574  0.500 x1
Si  0.180  0.939  0.476 x1
Si  0.280  0.884  0.912 x1
Si  0.348  0.277  0.644 x1
Si  0.405  0.466  0.163 x1
Si  0.523  0.046  0.414 x1
Si  0.627  0.849  0.265 x1
Si  0.686  0.167  0.971 x1
Si  0.688  0.811  0.777 x1
Si  0.774  0.507  0.106 x1
Si  0.908  0.201  0.802 x1
Si  0.991  0.920  0.250 x1

***

[7]
First-principles (PBE) data for a geometry-optimized Tm5Tl2Ir2 structure, as listed in the Alexandria database.

Properties
- Final energy: -5.609 eV per atom
- Formation enthalpy at 0 K: -547 kJ/mol of formula units

Lattice parameters (Å, degrees): 16.201 7.580 7.488 90.00 90.00 90.00
Space group Cmce (No. 64)
Unique sites:
Tm  0.000  0.000  0.000 x4
Tm  0.114  0.166  0.338 x16
Tl  0.220  0.000  0.000 x8
Ir  0.000  0.136  0.638 x8

***

[8]
First-principles (PBE) data for a geometry-optimized Ac3NiCl3 structure, as listed in the Alexandria database.

Properties
- Final energy: -4.799 eV per atom
- Formation energy (no corrections): -1.4206 eV per atom

Lattice parameters (Å, degrees): 8.874 4.269 12.534 90.00 90.84 90.00
Space group P2_1/m (No. 11)
Unique sites:
Ac  0.085  0.250  0.127 x2
Ac  0.170  0.250  0.646 x2
Ac  0.362  0.750  0.898 x2
Ni  0.143  0.250  0.877 x2
Cl  0.074  0.250  0.395 x2
Cl  0.358  0.750  0.155 x2
Cl  0.405  0.750  0.639 x2

***

[9]
First-principles (PBE) data for a geometry-optimized ZrInCl2 structure, as listed in the Alexandria database.

Properties
- Final energy: -4.790 eV per atom
- E above lowest polymorph: 0.000 eV per atom
- Formation energy (no corrections): -1.0451 eV per atom

Lattice parameters (Å, degrees): 3.3178 3.3178 30.3451 90.00 90.00 120.00
Space group R-3m (No. 166, hexagonal axes)
Unique sites:
Zr  0.0000  0.0000  0.0000 x3
In  0.0000  0.0000  0.5000 x3
Cl  0.0000  0.0000  0.3938 x6

***

[10]
First-principles (PBE) data for a geometry-optimized Tb2Dy3Tm structure, as listed in the Alexandria database.

Properties
- Final energy: -4.571 eV per atom
- Formation enthalpy at 0 K: 11 kJ/mol of formula units
- E above lowest polymorph: 0.017 eV per atom

Lattice parameters (Å, degrees): 17.313 7.064 6.109 90.00 90.07 90.00
Space group C2/c (No. 15)
Unique sites:
Tb  0.166  0.125  0.416 x8
Dy  0.000  0.125  0.750 x4
Dy  0.166  0.375  0.918 x8
Tm  0.000  0.375  0.250 x4

***

[11]
First-principles (PBE) data for a geometry-optimized VS2Br structure, as listed in the Alexandria database.

Properties
- Final energy: -5.232 eV per atom
- E above lowest polymorph: 0.095 eV per atom
- Formation energy (no corrections): -0.4702 eV per atom

Lattice parameters (Å, degrees): 3.3955 3.3955 23.3057 90.00 90.00 120.00
Space group R-3m (No. 166, hexagonal axes)
Unique sites:
V  0.0000  0.0000  0.0000 x3
S  0.0000  0.0000  0.3917 x6
Br  0.0000  0.0000  0.5000 x3

***

[12]
First-principles (PBE) data for a geometry-optimized Li3Ce2PuS6 structure, as listed in the Alexandria database.

Properties
- Final energy: -6.398 eV per atom
- Formation energy (no corrections): -1.6722 eV per atom

Lattice parameters (Å, degrees): 6.970 12.076 6.567 90.00 110.67 90.00
Space group C2/m (No. 12)
Unique sites:
Li  0.000  0.000  0.000 x2
Li  0.000  0.337  0.000 x4
Ce  0.000  0.167  0.500 x4
Pu  0.000  0.500  0.500 x2
S  0.247  0.500  0.246 x4
S  0.250  0.166  0.246 x8